First-principles (PBEsol) data for a relaxed K4W2Cl10O crystal, as listed in Alexandria via LeMat-Bulk.

Results
As for the space group: No. 139. The calculation puts the uncorrected formation energy at -1.4869 eV per atom. The total magnetization is 4.00 Bohr magnetons per cell. The electronic total energy comes out at -4.868 eV/atom.

```
17
Lattice="-1.222 6.932 -0.700 -3.149 -1.184 -6.222 -5.544 -3.823 7.554" Properties=species:S:1:pos:R:3 pbc="T T T"
Cl -5.492 1.375 4.610
Cl -7.131 0.759 1.374
Cl -6.495 -2.846 1.738
Cl -4.857 -2.231 4.974
Cl -3.420 4.772 -1.106
Cl -2.785 1.166 -0.741
Cl -3.755 -0.461 1.988
Cl -6.161 2.386 -1.356
Cl -4.423 0.550 -3.978
Cl -5.058 4.156 -4.342
K -0.611 3.466 -0.350
K -5.440 -1.066 -1.064
K -1.575 -0.592 -3.111
K -4.476 2.991 1.697
O 0.000 0.000 0.000
W -8.267 2.127 -0.240
W -1.648 -0.202 0.873
```